1.
{"formula": "Cs3TmTh2S6", "functional": "PBE-GGA", "state": "optimized geometry", "volume_a3_per_atom": 30.02, "raw_formation_energy_kcal_per_mol_atoms": -39.12, "sg": "C2/m, No. 12", "lattice": [[7.154, -0.001, 0.000], [-3.576, 6.196, 0.000], [-1.193, -2.066, 8.126]], "species": ["S", "Th", "Th", "S", "Cs", "Cs", "S", "S", "S", "Cs", "Tm", "S"], "frac_coords": [[0.387, 0.062, 0.186], [0.334, 0.666, 0.000], [0.666, 0.334, 0.000], [0.062, 0.387, 0.186], [0.168, 0.832, 0.500], [0.832, 0.168, 0.500], [0.263, 0.263, 0.813], [0.737, 0.737, 0.187], [0.613, 0.938, 0.814], [0.500, 0.500, 0.500], [0.000, 0.000, 0.000], [0.938, 0.613, 0.814]]}


2.
{"formula": "SiOsF2", "functional": "PBE-GGA", "state": "optimized geometry", "volume_a3_per_atom": 15.53, "de_polymorph_mev_per_atom": 0, "raw_formation_energy_kcal_per_mol_atoms": -18.88, "sg": "R-3m, No. 166", "lattice": [[1.515, 0.000, 10.419], [-0.758, 1.312, 10.419], [-0.758, -1.312, 10.419]], "species": ["Si", "F", "F", "Os"], "frac_coords": [[0.000, 0.000, 0.000], [0.052, 0.052, 0.052], [0.948, 0.948, 0.948], [0.500, 0.500, 0.500]]}


3.
{"formula": "NaYHf2", "functional": "PBE-GGA", "state": "optimized geometry", "volume_a3_per_atom": 25.23, "de_polymorph_mev_per_atom": 0, "formation_energy_ev_per_atom": 0.78, "sg": "Fm-3m, No. 225", "lattice": [[0.000, 3.696, 3.696], [3.696, 0.000, 3.696], [3.696, 3.696, 0.000]], "species": ["Na", "Hf", "Y", "Hf"], "frac_coords": [[0.000, 0.000, 0.000], [0.250, 0.250, 0.250], [0.500, 0.500, 0.500], [0.750, 0.750, 0.750]]}


4.
{"formula": "Ca2La2Y", "functional": "PBE-GGA", "state": "optimized geometry", "volume_a3_per_atom": 37.71, "de_polymorph_mev_per_atom": 232, "formation_energy_ev_per_atom": 0.26, "sg": "P4/mbm, No. 127", "lattice": [[10.040, 0.000, 0.000], [0.000, 10.040, 0.000], [0.000, 0.000, 3.741]], "species": ["Ca", "Ca", "Ca", "La", "La", "La", "Y", "Y", "La", "Ca"], "frac_coords": [[0.128, 0.372, 0.000], [0.872, 0.628, 0.000], [0.628, 0.128, 0.000], [0.671, 0.829, 0.500], [0.329, 0.171, 0.500], [0.171, 0.671, 0.500], [0.500, 0.500, 0.000], [0.000, 0.000, 0.000], [0.829, 0.329, 0.500], [0.372, 0.872, 0.000]]}